This record from the Alexandria database describes a relaxed MoOsCl crystal. The functional is GGA-PBE.

Results
The space group is Fmm2, No. 42. For the relative energy among the computed polymorphs, the calculation gives 352 meV per atom.

Unit cell a=7.4410 b=7.1689 c=2.8833 alpha=83.98 beta=73.36 gamma=22.67
Fractional coordinates of all 3 atoms:
Cl1 0.9796 0.9796 0.0204
Mo1 0.3338 0.3338 0.6662
Os1 0.6866 0.6866 0.3134

---

This record from the Alexandria database describes a relaxed MoOsCl2 crystal. The functional is GGA-PBE.

Results
The space group is Imm2, No. 44. For the relative energy among the computed polymorphs, the calculation gives 814 meV per atom.

Unit cell a=7.3469 b=7.3469 c=7.3469 alpha=157.48 beta=148.19 gamma=39.33
Fractional coordinates of all 4 atoms:
Mo1 0.4474 0.4474 0.0000
Os1 0.2961 0.7961 0.5000
Cl1 0.0087 0.0087 0.0000
Cl2 0.7477 0.2477 0.5000

---

This record from the Alexandria database describes a relaxed MoOsCl2 crystal. The functional is GGA-PBE.

Results
The space group is I4/mmm, No. 139. For the relative energy among the computed polymorphs, the calculation gives 1462 meV per atom.

Unit cell a=4.9157 b=4.9157 c=4.9157 alpha=131.69 beta=131.69 gamma=70.72
Last column: magnetic moment on the atom in μB.
Fractional coordinates of all 4 atoms:
Mo1 0.2500 0.7500 0.5000  -0.87
Os1 0.7500 0.2500 0.5000  1.59
Cl1 0.0000 0.0000 0.0000  0.08
Cl2 0.5000 0.5000 0.0000  0.08

---

This record from the Alexandria database describes a relaxed MoOsCl crystal. The functional is GGA-PBE.

Results
The space group is I4mm, No. 107. For the relative energy among the computed polymorphs, the calculation gives 81 meV per atom.

Unit cell a=6.0846 b=6.0846 c=6.0846 alpha=152.09 beta=152.09 gamma=39.89
Fractional coordinates of all 3 atoms:
Cl1 0.9844 0.9844 0.0000
Mo1 0.3256 0.3256 0.0000
Os1 0.6900 0.6900 0.0000

---

This record from the Alexandria database describes a relaxed Mo2OsCl crystal. The functional is GGA-PBE.

Results
The space group is Cmm2, No. 35. For the relative energy among the computed polymorphs, the calculation gives 288 meV per atom.

Unit cell a=2.8096 b=2.8096 c=9.0949 alpha=90.00 beta=90.00 gamma=113.15
Fractional coordinates of all 4 atoms:
Cl1 0.5000 0.5000 0.7797
Mo1 0.0000 0.0000 0.0004
Mo2 0.5000 0.5000 0.2465
Os1 0.0000 0.0000 0.4734

---

This record from the Alexandria database describes a relaxed MoOsCl2 crystal. The functional is GGA-PBE.

Results
The space group is R-3m, No. 166. For the relative energy among the computed polymorphs, the calculation gives 799 meV per atom.

Unit cell a=10.5892 b=10.5892 c=10.5892 alpha=15.75 beta=15.75 gamma=15.75
Last column: magnetic moment on the atom in μB.
Fractional coordinates of all 4 atoms:
Mo1 0.2500 0.2500 0.2500  -0.23
Os1 0.7500 0.7500 0.7500  0.59
Cl1 0.9741 0.9741 0.9741  -0.01
Cl2 0.5259 0.5259 0.5259  -0.01

---

This record from the Alexandria database describes a relaxed Mo2OsCl crystal. The functional is GGA-PBE.

Results
The space group is Fm-3m, No. 225. For the relative energy among the computed polymorphs, the calculation gives 532 meV per atom.

Unit cell a=4.4353 b=4.4353 c=4.4353 alpha=60.00 beta=60.00 gamma=60.00
Fractional coordinates of all 4 atoms:
Mo1 0.2500 0.2500 0.2500
Mo2 0.7500 0.7500 0.7500
Os1 0.5000 0.5000 0.5000
Cl1 0.0000 0.0000 0.0000

---

This record from the Alexandria database describes a relaxed Mo2OsCl crystal. The functional is GGA-PBE.

Results
The space group is Cmmm, No. 65. For the relative energy among the computed polymorphs, the calculation gives 290 meV per atom.

Unit cell a=2.8387 b=2.8387 c=8.9271 alpha=90.00 beta=90.00 gamma=118.60
Fractional coordinates of all 4 atoms:
Cl1 0.5000 0.5000 0.7500
Mo1 0.0000 0.0000 0.0005
Mo2 0.0000 0.0000 0.4995
Os1 0.5000 0.5000 0.2500

---

This record from the Alexandria database describes a relaxed Sc2MoOsCl crystal. The functional is GGA-PBE.

Results
The space group is P4/mmm, No. 123.

Unit cell a=5.0944 b=5.0944 c=4.3732 alpha=90.00 beta=90.00 gamma=90.00
Last column: magnetic moment on the atom in μB.
Fractional coordinates of all 5 atoms:
Sc1 0.0000 0.5000 0.0000  -0.10
Sc2 0.5000 0.0000 0.0000  -0.10
Mo1 0.0000 0.0000 0.0000  0.14
Os1 0.5000 0.5000 0.5000  1.53
Cl1 0.0000 0.0000 0.5000  0.03

---

This record from the Alexandria database describes a relaxed MoP2Cl crystal. The functional is GGA-PBE.

Results
The space group is I-42d, No. 122. For the relative energy among the computed polymorphs, the calculation gives 571 meV per atom.

Unit cell a=6.0697 b=6.0697 c=6.8292 alpha=63.62 beta=63.62 gamma=90.00
Fractional coordinates of all 8 atoms:
P1 0.6982 0.1250 0.2500
P2 0.0518 0.6250 0.2500
P3 0.3750 0.3018 0.7500
P4 0.8750 0.9482 0.7500
Mo1 0.0000 0.0000 0.0000
Mo2 0.7500 0.2500 0.5000
Cl1 0.5000 0.5000 0.0000
Cl2 0.2500 0.7500 0.5000

---

This record from the Alexandria database describes a relaxed MoP2Cl crystal. The functional is GGA-PBE.

Results
The space group is R3m, No. 160. For the relative energy among the computed polymorphs, the calculation gives 229 meV per atom.

Unit cell a=9.1089 b=9.1089 c=9.1089 alpha=19.21 beta=19.21 gamma=19.21
Fractional coordinates of all 4 atoms:
Cl1 0.4744 0.4744 0.4744
Mo1 0.7406 0.7406 0.7406
P1 0.0062 0.0062 0.0062
P2 0.2788 0.2788 0.2788

---

This record from the Alexandria database describes a relaxed MoPCl2 crystal. The functional is GGA-PBE.

Results
The space group is Amm2, No. 38. For the relative energy among the computed polymorphs, the calculation gives 136 meV per atom.

Unit cell a=3.4362 b=6.2402 c=6.2402 alpha=45.32 beta=90.00 gamma=90.00
Fractional coordinates of all 4 atoms:
Cl1 0.0000 0.9899 0.9897
Cl2 0.5000 0.3464 0.3466
Mo1 0.0000 0.5171 0.5168
P1 0.5000 0.6466 0.6468

---

This record from the Alexandria database describes a relaxed MoP2Cl crystal. The functional is GGA-PBE.

Results
The space group is P4/mmm, No. 123. For the relative energy among the computed polymorphs, the calculation gives 885 meV per atom.

Unit cell a=5.0786 b=3.5818 c=3.5818 alpha=90.00 beta=90.00 gamma=90.00
Last column: magnetic moment on the atom in μB.
Fractional coordinates of all 4 atoms:
Cl1 0.5000 0.5000 0.0000  0.00
Mo1 0.5000 0.0000 0.5000  2.24
P1 0.0000 0.0000 0.0000  -0.06
P2 0.0000 0.5000 0.5000  -0.06

---

This record from the Alexandria database describes a relaxed MoPCl2 crystal. The functional is GGA-PBE.

Results
The space group is R-3m, No. 166. For the relative energy among the computed polymorphs, the calculation gives 610 meV per atom.

Unit cell a=10.4449 b=10.4449 c=10.4449 alpha=16.79 beta=16.79 gamma=16.79
Last column: magnetic moment on the atom in μB.
Fractional coordinates of all 4 atoms:
Cl1 0.9730 0.9730 0.9730  -0.01
Cl2 0.5270 0.5270 0.5270  -0.01
Mo1 0.2500 0.2500 0.2500  -0.14
P1 0.7500 0.7500 0.7500  0.19

---

This record from the Alexandria database describes a relaxed MoPCl2 crystal. The functional is GGA-PBE.

Results
The space group is I-4m2, No. 119. For the relative energy among the computed polymorphs, the calculation gives 1007 meV per atom.

Unit cell a=4.6598 b=4.6598 c=4.6598 alpha=124.04 beta=124.04 gamma=83.13
Last column: magnetic moment on the atom in μB.
Fractional coordinates of all 4 atoms:
Cl1 0.0000 0.0000 0.0000  -0.04
Cl2 0.2500 0.7500 0.5000  -0.02
Mo1 0.5000 0.5000 0.0000  1.40
P1 0.7500 0.2500 0.5000  -0.14

---

This record from the Alexandria database describes a relaxed MoPCl2 crystal. The functional is GGA-PBE.

Results
The space group is R3m, No. 160. For the relative energy among the computed polymorphs, the calculation gives 206 meV per atom.

Unit cell a=8.9302 b=8.9302 c=8.9302 alpha=20.86 beta=20.86 gamma=20.86
Fractional coordinates of all 4 atoms:
Cl1 0.0253 0.0253 0.0253
Cl2 0.2226 0.2226 0.2226
Mo1 0.4883 0.4883 0.4883
P1 0.7638 0.7638 0.7638

---

no.,DOS at the Fermi energy (states/eV/f.u.),ΔE_f (raw) (eV/atom),magnetization (μB per cell)
1,3.31,0.599,0.00
2,2.59,0.711,0.00
3,3.82,1.359,0.93
4,2.42,0.328,0.00
5,4.35,0.533,0.00
6,4.83,0.696,0.40
7,4.38,0.777,0.00
8,3.70,0.535,0.00
9,5.25,1.087,1.54
10,4.40,0.339,0.00
11,1.87,-0.002,0.00
12,1.62,-0.275,0.00
13,1.79,0.653,2.31
14,3.07,0.198,0.25
15,2.51,0.596,1.29
16,3.33,-0.206,0.00